# 1
This record from the Alexandria database describes an optimized crystal structure of Sc2CdW. The functional is PBE.

Values from the calculation:
Its total energy is -6.6002 eV/atom. As for the space group: Cmmm, No. 65. As for the total magnetization: 0.0 μB per formula unit.

The structure in CIF format:
```
data_Sc2CdW
_cell_length_a 2.958
_cell_length_b 2.958
_cell_length_c 9.385
_cell_angle_alpha 90.00
_cell_angle_beta 90.00
_cell_angle_gamma 101.17
_space_group_name_H-M_alt 'P 1'
_space_group_IT_number 1
loop_
_space_group_symop_operation_xyz
'x,y,z'
loop_
_atom_site_label
_atom_site_fract_x
_atom_site_fract_y
_atom_site_fract_z
_atom_site_occupancy
Sc1 0.000 0.000 0.020 1
W1 0.500 0.500 0.250 1
Sc2 0.000 0.000 0.480 1
Cd1 0.500 0.500 0.750 1
```

# 2
This record from the Alexandria database describes an optimized crystal structure of RbCo3Cl12. The functional is PBE.

Values from the calculation:
Its uncorrected formation energy is -0.6279 eV per atom. As for the space group: R3c, No. 161. As for the total magnetization: 14.0 μB per formula unit.

The structure in CIF format:
```
data_RbCo3Cl12
_cell_length_a 11.614
_cell_length_b 11.614
_cell_length_c 13.539
_cell_angle_alpha 64.60
_cell_angle_beta 64.60
_cell_angle_gamma 60.00
_space_group_name_H-M_alt 'P 1'
_space_group_IT_number 1
loop_
_space_group_symop_operation_xyz
'x,y,z'
loop_
_atom_site_label
_atom_site_fract_x
_atom_site_fract_y
_atom_site_fract_z
_atom_site_occupancy
Cl1 0.905 0.349 0.345 1
Co1 0.453 0.843 0.500 1
Cl2 0.846 0.242 0.641 1
Cl3 0.400 0.905 0.345 1
Cl4 0.032 0.498 0.991 1
Cl5 0.349 0.400 0.345 1
Co2 0.343 0.953 0.000 1
Co3 0.204 0.453 0.500 1
Cl6 0.849 0.405 0.845 1
Cl7 0.739 0.134 0.021 1
Cl8 0.978 0.998 0.491 1
Co4 0.953 0.704 0.000 1
Cl9 0.771 0.742 0.141 1
Cl10 0.239 0.606 0.521 1
Cl11 0.634 0.239 0.521 1
Cl12 0.532 0.978 0.491 1
Cl13 0.606 0.634 0.521 1
Cl14 0.498 0.478 0.991 1
Cl15 0.242 0.271 0.641 1
Cl16 0.998 0.532 0.491 1
Cl17 0.900 0.849 0.845 1
Cl18 0.134 0.106 0.021 1
Cl19 0.742 0.346 0.141 1
Co5 0.843 0.204 0.500 1
Cl20 0.346 0.771 0.141 1
Cl21 0.106 0.739 0.021 1
Cl22 0.271 0.846 0.641 1
Rb1 0.060 0.060 0.819 1
Cl23 0.405 0.900 0.845 1
Co6 0.704 0.343 0.000 1
Cl24 0.478 0.032 0.991 1
Rb2 0.560 0.560 0.319 1
```

# 3
This record from the Alexandria database describes an optimized crystal structure of LuTiCoRu. The functional is PBE.

Values from the calculation:
Its total energy is -7.6103 eV/atom. As for the space group: F-43m, No. 216. As for the total magnetization: 0.0 μB per formula unit.

The structure in CIF format:
```
data_LuTiCoRu
_cell_length_a 4.473
_cell_length_b 4.473
_cell_length_c 4.473
_cell_angle_alpha 60.00
_cell_angle_beta 60.00
_cell_angle_gamma 60.00
_space_group_name_H-M_alt 'P 1'
_space_group_IT_number 1
loop_
_space_group_symop_operation_xyz
'x,y,z'
loop_
_atom_site_label
_atom_site_fract_x
_atom_site_fract_y
_atom_site_fract_z
_atom_site_occupancy
Ti1 0.750 0.750 0.750 1
Lu1 0.250 0.250 0.250 1
Ru1 0.000 0.000 0.000 1
Co1 0.500 0.500 0.500 1
```

# 4
This record from the Alexandria database describes an optimized crystal structure of LiCoPt. The functional is PBE.

Values from the calculation:
The energy above the lowest structure with this stoichiometry comes out at 7.6 kJ/mol of atoms. As for the space group: I4mm, No. 107. As for the total magnetization: 2.2 μB per formula unit.

The structure in CIF format:
```
data_LiCoPt
_cell_length_a 4.936
_cell_length_b 4.936
_cell_length_c 4.936
_cell_angle_alpha 145.66
_cell_angle_beta 145.66
_cell_angle_gamma 49.36
_space_group_name_H-M_alt 'P 1'
_space_group_IT_number 1
loop_
_space_group_symop_operation_xyz
'x,y,z'
loop_
_atom_site_label
_atom_site_fract_x
_atom_site_fract_y
_atom_site_fract_z
_atom_site_occupancy
Co1 0.996 0.996 0.000 1
Li1 0.336 0.336 0.000 1
Pt1 0.668 0.668 0.000 1
```

# 5
This record from the Alexandria database describes an optimized crystal structure of Sc2TiAl2Rh5. The functional is PBE.

Values from the calculation:
Its total energy is -7.3556 eV/atom. As for the space group: P4/mbm, No. 127. As for the total magnetization: 0.0 μB per formula unit.

The structure in CIF format:
```
data_Sc2TiAl2Rh5
_cell_length_a 3.360
_cell_length_b 9.714
_cell_length_c 9.714
_cell_angle_alpha 90.00
_cell_angle_beta 90.00
_cell_angle_gamma 90.00
_space_group_name_H-M_alt 'P 1'
_space_group_IT_number 1
loop_
_space_group_symop_operation_xyz
'x,y,z'
loop_
_atom_site_label
_atom_site_fract_x
_atom_site_fract_y
_atom_site_fract_z
_atom_site_occupancy
Rh1 0.500 0.300 0.569 1
Al1 0.000 0.873 0.373 1
Sc1 0.000 0.329 0.829 1
Rh2 0.500 0.200 0.069 1
Al2 0.000 0.627 0.873 1
Rh3 0.500 0.800 0.931 1
Rh4 0.500 0.931 0.200 1
Ti1 0.000 0.500 0.500 1
Rh5 0.500 0.569 0.700 1
Rh6 0.500 0.431 0.300 1
Sc2 0.000 0.829 0.671 1
Al3 0.000 0.373 0.127 1
Rh7 0.500 0.700 0.431 1
Rh8 0.500 0.069 0.800 1
Rh9 0.500 0.500 0.000 1
Rh10 0.500 0.000 0.500 1
Al4 0.000 0.127 0.627 1
Sc3 0.000 0.671 0.171 1
Ti2 0.000 0.000 0.000 1
Sc4 0.000 0.171 0.329 1
```

# 6
This record from the Alexandria database describes an optimized crystal structure of Dy5YTm12. The functional is PBE.

Values from the calculation:
Its total energy is -3.8750 eV/atom. As for the space group: C2/m, No. 12. As for the total magnetization: 0.0 μB per formula unit.

The structure in CIF format:
```
data_Dy5YTm12
_cell_length_a 9.477
_cell_length_b 9.478
_cell_length_c 8.928
_cell_angle_alpha 98.96
_cell_angle_beta 108.14
_cell_angle_gamma 60.00
_space_group_name_H-M_alt 'P 1'
_space_group_IT_number 1
loop_
_space_group_symop_operation_xyz
'x,y,z'
loop_
_atom_site_label
_atom_site_fract_x
_atom_site_fract_y
_atom_site_fract_z
_atom_site_occupancy
Tm1 0.202 0.333 0.615 1
Tm2 0.700 0.334 0.115 1
Tm3 0.867 0.000 0.611 1
Dy1 0.500 0.000 0.500 1
Tm4 0.798 0.667 0.385 1
Dy2 0.333 0.334 0.000 1
Tm5 0.370 0.000 0.115 1
Tm6 0.034 0.666 0.115 1
Dy3 0.667 0.666 0.000 1
Dy4 0.167 0.666 0.500 1
Tm7 0.630 0.000 0.885 1
Tm8 0.300 0.666 0.885 1
Tm9 0.466 0.333 0.385 1
Dy5 0.833 0.334 0.500 1
Tm10 0.534 0.667 0.615 1
Y1 0.000 0.000 0.000 1
Tm11 0.133 0.000 0.389 1
Tm12 0.966 0.334 0.885 1
```

no.,D(E_F) (states/eV per atom)
1,0.901
2,0.654
3,0.480
4,0.643
5,0.417
6,1.179